# 1
8
Lattice="3.649 0.000 0.000 -1.824 3.160 0.000 0.000 0.000 16.193" Properties=species:S:1:pos:R:3 comment="PBE TbYPbC, optimized geometry" crystal_system=trigonal space_group=P-3m1 total_energy_ev_per_cell=-52.0 pbc="T T T"
C 0.000 0.000 0.000
C 0.000 0.000 8.096
Pb 1.824 1.053 4.050
Pb 0.000 2.107 12.143
Tb 0.000 2.107 1.341
Tb 1.824 1.053 14.851
Y 0.000 2.107 6.758
Y 1.824 1.053 9.435

# 2
8
Lattice="3.649 0.000 0.000 -1.824 3.160 0.000 0.000 0.000 16.188" Properties=species:S:1:pos:R:3 comment="PBE TbYPbC, optimized geometry" crystal_system=hexagonal space_group=P6_3mc total_energy_ev_per_cell=-52.0 pbc="T T T"
C 0.000 0.000 0.000
C 0.000 0.000 8.095
Pb 1.824 1.053 4.049
Pb 0.000 2.107 12.143
Tb 0.000 2.107 1.338
Tb 1.824 1.053 9.432
Y 0.000 2.107 6.753
Y 1.824 1.053 14.847

# 3
8
Lattice="-1.240 -3.418 0.457 1.754 1.693 2.736 -12.959 5.369 4.986" Properties=species:S:1:pos:R:3 comment="PBE Tm4TePbC2, optimized geometry" crystal_system=hexagonal space_group=P-6m2 total_energy_ev_per_cell=-48.8 pbc="T T T"
C -2.643 1.398 3.284
C -8.804 3.950 5.654
Pb 0.000 0.000 0.000
Te -6.722 0.970 3.709
Tm -2.512 -0.774 2.090
Tm -4.514 1.870 1.737
Tm -8.445 3.498 3.249
Tm -10.931 2.714 5.329

# 4
8
Lattice="3.488 0.000 0.000 -1.744 3.021 0.000 0.000 0.000 14.149" Properties=species:S:1:pos:R:3 comment="PBE Zr4TePbC2, optimized geometry" crystal_system=hexagonal space_group=P-6m2 total_energy_ev_per_cell=-65.7 pbc="T T T"
C 0.000 2.014 3.662
C 0.000 2.014 10.487
Pb 0.000 0.000 0.000
Te 1.744 1.007 7.075
Zr 1.744 1.007 2.480
Zr 0.000 0.000 4.896
Zr 0.000 0.000 9.253
Zr 1.744 1.007 11.669

# 5
8
Lattice="3.406 0.000 0.000 -1.703 2.950 0.000 0.000 0.000 14.986" Properties=species:S:1:pos:R:3 comment="PBE Zr4TlPbC2, optimized geometry" crystal_system=hexagonal space_group=P-6m2 total_energy_ev_per_cell=-63.9 pbc="T T T"
C 1.703 0.983 3.737
C 1.703 0.983 11.249
Pb 0.000 0.000 7.493
Tl 0.000 1.966 0.000
Zr 0.000 0.000 2.519
Zr 0.000 1.966 4.974
Zr 0.000 1.966 10.012
Zr 0.000 0.000 12.468

# 6
7
Lattice="6.582 -0.367 5.535 2.716 5.058 6.415 -6.564 -4.061 -3.812" Properties=species:S:1:pos:R:3 comment="PBE Tm4Pb2C, optimized geometry" crystal_system=tetragonal space_group=I4/mmm total_energy_ev_per_cell=-38.5 pbc="T T T"
C 0.000 0.000 0.000
Pb 3.319 1.674 4.265
Pb 5.980 3.017 7.685
Tm 1.450 0.732 1.864
Tm 7.848 3.959 10.086
Tm 0.009 -2.214 0.862
Tm -1.924 0.498 1.301

# 7
16
Lattice="-2.823 1.186 -0.864 0.506 -0.861 3.021 7.936 22.615 5.117" Properties=species:S:1:pos:R:3 comment="PBE PbW4C3, optimized geometry" crystal_system=hexagonal space_group=P6_3/mmc total_energy_ev_per_cell=-160.3 pbc="T T T"
C 0.000 0.000 0.000
C -0.879 2.882 0.969
C 1.420 9.433 2.451
C 3.968 11.308 2.558
C 4.199 13.507 4.822
C 6.498 20.058 6.304
Pb 1.380 5.475 3.005
Pb 4.239 17.465 4.268
W -0.180 1.029 1.999
W 1.138 3.243 0.734
W 2.830 8.065 1.825
W 2.940 9.921 4.011
W 2.679 13.019 3.262
W 5.106 14.550 3.292
W 6.798 19.372 4.383
W 5.799 21.911 5.274

# 8
12
Lattice="-1.348 -2.652 -1.083 2.551 -0.170 1.867 -11.471 -0.555 15.628" Properties=species:S:1:pos:R:3 comment="PBE PbW3C2, optimized geometry" crystal_system=hexagonal space_group=P6_3/mmc total_energy_ev_per_cell=-116.6 pbc="T T T"
C 0.487 -1.034 1.925
C -3.719 -1.238 7.656
C -6.548 -2.139 8.755
C -10.754 -2.343 14.486
Pb -2.868 -0.139 3.907
Pb -8.603 -0.417 11.721
W 0.000 0.000 0.000
W -1.435 -1.892 1.789
W -4.397 -2.035 5.825
W -5.735 -0.278 7.814
W -5.871 -1.342 10.587
W -8.832 -1.485 14.622